VASP calculation (PBE) on crystalline Dy3Sc2Tl4 at its relaxed geometry.

Cell and atoms, written as POSCAR:
```
Dy3Sc2Tl4
1.0
-2.531 3.078 7.969
2.531 -3.078 7.969
2.531 3.078 -7.969
Tl Dy Sc
4 3 2
direct
0.269 0.000 0.269
0.731 0.000 0.731
0.752 0.252 0.500
0.248 0.748 0.500
0.383 0.383 0.000
0.617 0.617 0.000
0.000 0.500 0.500
0.160 0.160 0.000
0.840 0.840 0.000
```

Summary:
Its formation energy is -194.2 meV per atom. As for the spin magnetization: 0.000 μB per atom.